(1)
A geometry-optimized KHfInN2 structure. Source: the Alexandria database, functional PBE.

Volume: 121.6 Å³/cell
Raw formation energy: 2.696 eV/atom

Lattice parameters (Å, degrees): 4.6173 4.6173 5.7020 90.00 90.00 90.00
Sites, in units of the cell vectors:
1 K 0.0000 0.0000 0.0000
2 N 0.0000 0.5000 0.0000
3 N 0.5000 0.0000 0.0000
4 Hf 0.0000 0.0000 0.5000
5 In 0.5000 0.5000 0.5000


(2)
A geometry-optimized KHfNbInO6 structure. Source: the Alexandria database, functional PBE.

Volume: 137.1 Å³/cell
Raw formation energy: -2.368 eV/atom

Lattice parameters (Å, degrees): 5.7885 5.7885 5.7885 60.00 60.00 60.00
Sites, in units of the cell vectors:
1 K 0.2500 0.2500 0.2500
2 Hf 0.0000 0.0000 0.0000
3 Nb 0.5000 0.5000 0.5000
4 In 0.7500 0.7500 0.7500
5 O 0.2540 0.7460 0.2540
6 O 0.7460 0.2540 0.7460
7 O 0.2540 0.7460 0.7460
8 O 0.7460 0.2540 0.2540
9 O 0.2540 0.2540 0.7460
10 O 0.7460 0.7460 0.2540


(3)
A geometry-optimized K2HfInNi structure. Source: the Alexandria database, functional PBE.

Volume: 159.5 Å³/cell
Calculated formation energy: 1121.4 meV/atom

Lattice parameters (Å, degrees): 5.6057 5.0742 5.6057 90.00 90.00 90.00
Sites, in units of the cell vectors:
1 Ni 0.0000 0.0000 0.0000
2 K 0.0000 0.0000 0.5000
3 K 0.5000 0.0000 0.0000
4 Hf 0.5000 0.5000 0.5000
5 In 0.0000 0.5000 0.0000


(4)
A geometry-optimized KPrHfInO6 structure. Source: the Alexandria database, functional PBE.

Volume: 144.9 Å³/cell
Raw formation energy: -2.315 eV/atom

Lattice parameters (Å, degrees): 5.8959 5.8959 5.8959 60.00 60.00 60.00
Sites, in units of the cell vectors:
1 K 0.7500 0.7500 0.7500
2 Pr 0.2500 0.2500 0.2500
3 Hf 0.0000 0.0000 0.0000
4 In 0.5000 0.5000 0.5000
5 O 0.2455 0.7545 0.2455
6 O 0.7545 0.2455 0.7545
7 O 0.2455 0.7545 0.7545
8 O 0.7545 0.2455 0.2455
9 O 0.2455 0.2455 0.7545
10 O 0.7545 0.7545 0.2455


For the records above, the corresponding mass density values read 4.92, 6.31, 4.48, 6.52 g cm⁻³.